Record 1
Here is a PBEsol-optimized structure of La2TlPb from Alexandria. Energies are from meta-GGA SCAN.

Summary:
**Energy of formation**: -71.4 kJ/mol of atoms
**DOS at the Fermi energy**: 0.668 states/eV per atom

POSCAR file:
```
La2TlPb
1.0
-1.483 3.117 -1.031
-4.435 -2.896 -2.378
-1.864 0.907 5.423
Pb La Tl
1 2 1
direct
0.500 0.500 0.500
0.000 0.500 0.000
0.000 0.000 0.500
0.500 0.000 0.000
```

Record 2
Here is a PBEsol-optimized structure of La2TlPb from Alexandria. Energies are from meta-GGA SCAN.

Summary:
**Energy of formation**: -71.3 kJ/mol of atoms
**DOS at the Fermi energy**: 0.691 states/eV per atom

POSCAR file:
```
La2TlPb
1.0
-3.567 -0.160 -0.655
0.623 -3.691 -2.488
-0.902 -4.147 5.926
Tl La Pb
1 2 1
direct
0.500 0.500 0.000
0.000 0.000 0.248
0.000 0.000 0.752
0.500 0.500 0.500
```

Record 3
Here is a PBEsol-optimized structure of La2Tl2Pb from Alexandria. Energies are from meta-GGA SCAN.

Summary:
**Energy of formation**: -62.4 kJ/mol of atoms
**DOS at the Fermi energy**: 0.538 states/eV per atom

POSCAR file:
```
La2Tl2Pb
1.0
-1.245 -0.630 4.506
6.695 -4.245 1.256
3.887 6.727 2.015
Tl Pb La
4 2 4
direct
0.000 0.869 0.631
0.000 0.131 0.369
0.000 0.631 0.131
0.000 0.369 0.869
0.000 0.500 0.500
0.000 0.000 0.000
0.500 0.169 0.669
0.500 0.831 0.331
0.500 0.669 0.831
0.500 0.331 0.169
```

Record 4
Here is a PBEsol-optimized structure of LaTlPb3 from Alexandria. Energies are from meta-GGA SCAN.

Summary:
**Energy of formation**: 22.4 kJ/mol of atoms
**DOS at the Fermi energy**: 0.652 states/eV per atom

POSCAR file:
```
LaTlPb3
1.0
-4.390 0.414 3.537
-0.531 -5.627 -0.001
3.521 -0.333 4.409
Pb Tl La
3 1 1
direct
0.000 0.000 0.500
0.000 0.500 0.000
0.500 0.000 0.000
0.000 0.000 0.000
0.500 0.500 0.500
```

Record 5
Here is a PBEsol-optimized structure of LaPbW2 from Alexandria. Energies are from meta-GGA SCAN.

Summary:
**Energy of formation**: 53.6 kJ/mol of atoms
**DOS at the Fermi energy**: 0.905 states/eV per atom

POSCAR file:
```
LaPbW2
1.0
3.225 0.000 0.000
1.613 2.793 0.000
1.613 0.931 9.765
W Pb La
2 1 1
direct
0.737 0.737 0.789
0.011 0.011 0.968
0.261 0.261 0.218
0.491 0.491 0.526
```

Record 6
Here is a PBEsol-optimized structure of LaPbW2 from Alexandria. Energies are from meta-GGA SCAN.

Summary:
**Energy of formation**: 23.9 kJ/mol of atoms
**DOS at the Fermi energy**: 0.492 states/eV per atom

POSCAR file:
```
LaPbW2
1.0
-2.247 -0.315 2.366
2.379 -0.556 2.186
0.473 7.958 1.508
La W Pb
1 2 1
direct
0.000 0.000 0.467
0.500 0.500 0.198
0.000 0.000 0.041
0.500 0.500 0.794
```

What did the sixth record say?
Here is a PBEsol-optimized structure of LaPbW2 from Alexandria. Energies are from meta-GGA SCAN.

Summary:
**Energy of formation**: 23.9 kJ/mol of atoms
**DOS at the Fermi energy**: 0.492 states/eV per atom

POSCAR file:
```
LaPbW2
1.0
-2.247 -0.315 2.366
2.379 -0.556 2.186
0.473 7.958 1.508
La W Pb
1 2 1
direct
0.000 0.000 0.467
0.500 0.500 0.198
0.000 0.000 0.041
0.500 0.500 0.794
```

> What is the energy of formation in the second record?

-71.3 kJ/mol of atoms